[1]
Density functional theory data (PBE) for a geometry-optimized Ag2SbHI structure. Values from VASP.

Summary:
DOS(E_F), states/eV per cell: 4.0
Density, g/cm3: 7.18
Total magnetic moment, μB per cell: 0.00
Total DFT energy (no corrections), eV/atom: -2.4340

Structure (Quantum ESPRESSO input):
```
&SYSTEM
  ibrav = 0, nat = 5, ntyp = 4
/
ATOMIC_SPECIES
I 126.90 I.upf
Sb 121.76 Sb.upf
Ag 107.87 Ag.upf
H 1.01 H.upf
CELL_PARAMETERS angstrom
4.997 0.000 0.000
0.000 4.308 0.000
0.000 0.000 4.997
ATOMIC_POSITIONS crystal
I 0.500 0.500 0.500
Sb 0.000 0.500 0.000
Ag 0.000 0.000 0.500
Ag 0.500 0.000 0.000
H 0.000 0.000 0.000
```

[2]
Density functional theory data (PBE) for a geometry-optimized AgSb2HI structure. Values from VASP.

Summary:
DOS(E_F), states/eV per cell: 3.4
Energy above the lowest structure with this stoichiometry, meV per atom: 0
Density, g/cm3: 5.36
Total magnetic moment, μB per cell: 0.00

Structure (Quantum ESPRESSO input):
```
&SYSTEM
  ibrav = 0, nat = 5, ntyp = 4
/
ATOMIC_SPECIES
I 126.90 I.upf
Sb 121.76 Sb.upf
Ag 107.87 Ag.upf
H 1.01 H.upf
CELL_PARAMETERS angstrom
4.288 0.000 0.000
0.000 4.288 0.000
0.000 0.000 8.071
ATOMIC_POSITIONS crystal
I 0.000 0.000 0.500
Sb 0.000 0.500 0.000
Sb 0.500 0.000 0.000
Ag 0.500 0.500 0.500
H 0.000 0.000 0.000
```

[3]
Density functional theory data (PBE) for a geometry-optimized Tl2AgHI structure. Values from VASP.

Summary:
DOS(E_F), states/eV per cell: 1.6
Density, g/cm3: 6.61
Total magnetic moment, μB per cell: 0.00
Total DFT energy (no corrections), eV/atom: -2.1241

Structure (Quantum ESPRESSO input):
```
&SYSTEM
  ibrav = 0, nat = 5, ntyp = 4
/
ATOMIC_SPECIES
I 126.90 I.upf
H 1.01 H.upf
Tl 204.38 Tl.upf
Ag 107.87 Ag.upf
CELL_PARAMETERS angstrom
-3.559 -3.002 -4.593
3.017 -0.089 -2.280
1.701 -5.809 2.479
ATOMIC_POSITIONS crystal
I 0.000 0.000 0.000
H 0.000 0.500 0.000
Tl 0.000 0.000 0.500
Tl 0.500 0.000 0.000
Ag 0.500 0.500 0.500
```

Please write out number 3 again, unchanged.
Density functional theory data (PBE) for a geometry-optimized Tl2AgHI structure. Values from VASP.

Summary:
DOS(E_F), states/eV per cell: 1.6
Density, g/cm3: 6.61
Total magnetic moment, μB per cell: 0.00
Total DFT energy (no corrections), eV/atom: -2.1241

Structure (Quantum ESPRESSO input):
```
&SYSTEM
  ibrav = 0, nat = 5, ntyp = 4
/
ATOMIC_SPECIES
I 126.90 I.upf
H 1.01 H.upf
Tl 204.38 Tl.upf
Ag 107.87 Ag.upf
CELL_PARAMETERS angstrom
-3.559 -3.002 -4.593
3.017 -0.089 -2.280
1.701 -5.809 2.479
ATOMIC_POSITIONS crystal
I 0.000 0.000 0.000
H 0.000 0.500 0.000
Tl 0.000 0.000 0.500
Tl 0.500 0.000 0.000
Ag 0.500 0.500 0.500
```

Q: Number 2 is which compound?
A: AgSb2HI

Q: The lowest DOS(E_F) belongs to which entry?
A: Tl2AgHI